The following is a PBE calculation of a geometry-optimized Rb3CdPd2F9 structure, from Alexandria via LeMat-Bulk.

Cell and atoms, written as POSCAR:
```
Rb3CdPd2F9
1.0
6.223 0.000 0.000
-3.112 5.389 0.000
0.000 0.000 7.616
Rb Cd Pd F
3 1 2 9
Direct
0.000 0.000 0.000 Rb
0.333 0.667 0.666 Rb
0.667 0.333 0.334 Rb
0.000 0.000 0.500 Cd
0.333 0.667 0.158 Pd
0.667 0.333 0.842 Pd
0.000 0.500 0.000 F
0.168 0.336 0.327 F
0.168 0.832 0.327 F
0.336 0.168 0.673 F
0.500 0.000 0.000 F
0.500 0.500 0.000 F
0.664 0.832 0.327 F
0.832 0.168 0.673 F
0.832 0.664 0.673 F
```

Summary:
Raw formation energy ... -2.04 eV per atom
Size of the total moment ... 0.00 μB per formula unit
DOS(E_F) ... 2.8 states/eV/cell


The following is a PBE calculation of a geometry-optimized Rb2CdPdF6 structure, from Alexandria via LeMat-Bulk.

Cell and atoms, written as POSCAR:
```
Rb2CdPdF6
1.0
0.000 4.446 4.446
4.446 0.000 4.446
4.446 4.446 0.000
Rb Cd Pd F
2 1 1 6
Direct
0.250 0.250 0.250 Rb
0.750 0.750 0.750 Rb
0.000 0.000 0.000 Cd
0.500 0.500 0.500 Pd
0.252 0.252 0.748 F
0.252 0.748 0.252 F
0.252 0.748 0.748 F
0.748 0.252 0.252 F
0.748 0.252 0.748 F
0.748 0.748 0.252 F
```

Summary:
Raw formation energy ... -2.13 eV per atom
Size of the total moment ... 2.00 μB per formula unit
DOS(E_F) ... 0.1 states/eV/cell


The following is a PBE calculation of a geometry-optimized CdRe2PdF structure, from Alexandria via LeMat-Bulk.

Cell and atoms, written as POSCAR:
```
CdRe2PdF
1.0
4.055 0.000 0.000
0.000 4.055 0.000
0.000 0.000 4.859
Cd Re Pd F
1 2 1 1
Direct
0.000 0.000 0.000 Cd
0.000 0.500 0.500 Re
0.500 0.000 0.500 Re
0.500 0.500 0.000 Pd
0.000 0.000 0.500 F
```

Summary:
Raw formation energy ... 0.97 eV per atom
Size of the total moment ... 0.00 μB per formula unit
DOS(E_F) ... 5.0 states/eV/cell


The following is a PBE calculation of a geometry-optimized CdPdRhF2 structure, from Alexandria via LeMat-Bulk.

Cell and atoms, written as POSCAR:
```
CdPdRhF2
1.0
4.134 0.000 0.000
0.000 4.134 0.000
0.000 0.000 5.805
Cd Pd Rh F
1 1 1 2
Direct
0.000 0.000 0.000 Cd
0.000 0.000 0.500 Pd
0.500 0.500 0.500 Rh
0.000 0.500 0.000 F
0.500 0.000 0.000 F
```

Summary:
Raw formation energy ... -0.23 eV per atom
Size of the total moment ... 2.02 μB per formula unit
DOS(E_F) ... 6.3 states/eV/cell


Which formula does entry 4 have?
CdPdRhF2


Which of these has the highest size of the total moment?
CdPdRhF2


Among the records above, which one has the lowest DOS(E_F)?
Rb2CdPdF6


raw formation energy of number 1 (Rb3CdPd2F9)?
-2.04 eV per atom